! Li3V2O4F2, relaxed, DFT GGA+U; values from VASP
! SG: Pm
! Energy (eV/f.u.): -70.114
! Relative energy among the computed polymorphs (eV/atom): 0.000
&SYSTEM
  ibrav = 0, nat = 22, ntyp = 4
/
ATOMIC_SPECIES
Li 6.94 Li.upf
V 50.94 V.upf
O 16.00 O.upf
F 19.00 F.upf
ATOMIC_POSITIONS angstrom
Li 0.000 0.000 0.000
Li -1.322 1.526 5.884
Li -1.322 4.577 5.884
Li 0.451 1.525 7.720
Li 0.451 4.578 7.720
Li 1.479 3.052 5.890
V 0.770 1.526 2.949
V 0.770 4.578 2.949
V 3.337 0.000 2.957
V 3.342 3.052 2.927
O -0.998 1.506 3.993
O -0.998 4.597 3.993
O -0.188 0.000 1.910
O -0.161 3.052 2.004
O 1.703 0.000 3.890
O 1.729 3.052 3.985
O 2.533 1.545 1.896
O 2.533 4.558 1.896
F -0.585 0.000 6.948
F -0.280 3.052 6.661
F 2.137 1.525 6.809
F 2.137 4.578 6.809
CELL_PARAMETERS angstrom
5.139 0.000 0.000
0.000 6.103 0.000
-2.337 0.000 7.726